## Tl5SCl4 (PBE)

Data for a relaxed structure of Tl5SCl4.

abc: 6.017 7.903 7.903
angles: 81.67 67.62 67.62
Fractional coordinates of all 10 atoms:
Tl1 0.932 0.361 0.776
Tl2 0.293 0.776 0.639
Tl3 0.708 0.224 0.361
Tl4 0.069 0.639 0.224
Tl5 0.503 0.000 0.000
S1 0.001 0.000 0.000
Cl1 0.377 0.384 0.863
Cl2 0.761 0.863 0.616
Cl3 0.240 0.137 0.384
Cl4 0.624 0.616 0.137

## Properties
calculated volume	321.4	Å³ per cell
symmetry	I4, No. 79
energy relative to the elements, uncorrected	-781	meV/atom